Material: Ho12AgRu6
Method: DFT, PBE
State: relaxed

The space group is R-3 (No. 148, hexagonal axes) and the conventional cell measures 12.6101, 12.6101 and 11.0083 Å, with angles of 90.00, 90.00 and 120.00 degrees. The distinct sites, in fractional coordinates, are Ho at (0.0333, 0.8265, 0.3831), Ho at (0.0361, 0.8148, 0.8858), Ag at (0.0000, 0.0000, 0.0000) and Ru at (0.0490, 0.7880, 0.6470).

The formation energy comes out at -3.166 eV per formula unit. The crystal system is trigonal. The calculation puts the total magnetization at 0.0 Bohr magnetons per cell.